(1)
VASP calculation (GGA-PBE) on a relaxed ZrTi2Ni2 crystal.

Unit cell a=4.090 b=4.090 c=9.785 alpha=90.00 beta=90.00 gamma=90.00
Space group I4/mmm (No. 139)
Unique sites:
Zr 0.000 0.000 0.000 (multiplicity 2)
Ti 0.000 0.500 0.250 (multiplicity 4)
Ni 0.000 0.000 0.384 (multiplicity 4)

## Properties
Crystal system   tetragonal

***

(2)
VASP calculation (GGA-PBE) on a relaxed ZrTi2Ni2 crystal.

Unit cell a=3.758 b=3.758 c=11.581 alpha=90.00 beta=90.00 gamma=90.00
Space group I4/mmm (No. 139)
Unique sites:
Zr 0.000 0.000 0.000 (multiplicity 2)
Ti 0.000 0.000 0.384 (multiplicity 4)
Ni 0.000 0.500 0.250 (multiplicity 4)

## Properties
Crystal system   tetragonal

***

(3)
VASP calculation (GGA-PBE) on a relaxed ZrTi2Ni crystal.

Unit cell a=6.385 b=6.385 c=6.385 alpha=90.00 beta=90.00 gamma=90.00
Space group Fm-3m (No. 225)
Unique sites:
Zr 0.000 0.000 0.000 (multiplicity 4)
Ti 0.250 0.250 0.250 (multiplicity 8)
Ni 0.000 0.000 0.500 (multiplicity 4)

## Properties
Crystal system   cubic

***

(4)
VASP calculation (GGA-PBE) on a relaxed ZrTi2Ni9 crystal.

Unit cell a=3.667 b=3.667 c=10.941 alpha=90.00 beta=90.00 gamma=90.00
Space group P4/mmm (No. 123)
Unique sites:
Zr 0.000 0.000 0.000 (multiplicity 1)
Ti 0.000 0.000 0.338 (multiplicity 2)
Ni 0.000 0.500 0.176 (multiplicity 4)
Ni 0.000 0.500 0.500 (multiplicity 2)
Ni 0.500 0.500 0.000 (multiplicity 1)
Ni 0.500 0.500 0.338 (multiplicity 2)

## Properties
Crystal system   tetragonal

***

(5)
VASP calculation (GGA-PBE) on a relaxed ZrTi3Ni crystal.

Unit cell a=4.723 b=4.723 c=4.723 alpha=90.00 beta=90.00 gamma=90.00
Space group Pm-3m (No. 221)
Unique sites:
Zr 0.000 0.000 0.000 (multiplicity 1)
Ti 0.000 0.000 0.500 (multiplicity 3)
Ni 0.500 0.500 0.500 (multiplicity 1)

## Properties
Crystal system   cubic

***

(6)
VASP calculation (GGA-PBE) on a relaxed Zr2TiNi crystal.

Unit cell a=3.188 b=3.188 c=7.216 alpha=90.00 beta=90.00 gamma=90.00
Space group P4/mmm (No. 123)
Unique sites:
Zr 0.000 0.000 0.228 (multiplicity 2)
Ti 0.500 0.500 0.500 (multiplicity 1)
Ni 0.500 0.500 0.000 (multiplicity 1)

## Properties
Crystal system   tetragonal

***

(7)
VASP calculation (GGA-PBE) on a relaxed ZrTi2Ni3 crystal.

Unit cell a=4.075 b=17.689 c=5.127 alpha=90.00 beta=90.00 gamma=90.00
Space group Cmcm (No. 63)
Unique sites:
Zr 0.000 0.191 0.250 (multiplicity 4)
Ti 0.000 0.370 0.250 (multiplicity 4)
Ti 0.000 0.469 0.750 (multiplicity 4)
Ni 0.000 0.068 0.521 (multiplicity 8)
Ni 0.000 0.210 0.750 (multiplicity 4)

## Properties
Crystal system   orthorhombic

***

(8)
VASP calculation (GGA-PBE) on a relaxed Zr3Ti2Ni9 crystal.

Unit cell a=3.555 b=9.653 c=11.615 alpha=90.00 beta=90.00 gamma=90.00
Space group Immm (No. 71)
Unique sites:
Zr 0.000 0.000 0.000 (multiplicity 2)
Zr 0.000 0.000 0.289 (multiplicity 4)
Ti 0.000 0.194 0.500 (multiplicity 4)
Ni 0.000 0.293 0.154 (multiplicity 8)
Ni 0.000 0.377 0.354 (multiplicity 8)
Ni 0.000 0.500 0.000 (multiplicity 2)

## Properties
Crystal system   orthorhombic

***

(9)
VASP calculation (GGA-PBE) on a relaxed ZrTi4Ni15 crystal.

Unit cell a=3.635 b=3.635 c=18.248 alpha=90.00 beta=90.00 gamma=90.00
Space group P4/mmm (No. 123)
Unique sites:
Zr 0.000 0.000 0.000 (multiplicity 1)
Ti 0.000 0.000 0.205 (multiplicity 2)
Ti 0.000 0.000 0.402 (multiplicity 2)
Ni 0.000 0.500 0.107 (multiplicity 4)
Ni 0.000 0.500 0.303 (multiplicity 4)
Ni 0.000 0.500 0.500 (multiplicity 2)
Ni 0.500 0.500 0.000 (multiplicity 1)
Ni 0.500 0.500 0.205 (multiplicity 2)
Ni 0.500 0.500 0.402 (multiplicity 2)

## Properties
Crystal system   tetragonal

***

(10)
VASP calculation (GGA-PBE) on a relaxed ZrTi2Ni crystal.

Unit cell a=3.0306 b=3.0306 c=26.2216 alpha=90.00 beta=90.00 gamma=120.00
Space group R3m (No. 160, hexagonal axes)
Unique sites:
Zr 0.0000 0.0000 0.0000 (multiplicity 3)
Ti 0.0000 0.0000 0.2376 (multiplicity 3)
Ti 0.0000 0.0000 0.4281 (multiplicity 3)
Ni 0.0000 0.0000 0.8328 (multiplicity 3)

## Properties
Crystal system   trigonal

***

(11)
VASP calculation (GGA-PBE) on a relaxed ZrTi3Ni6 crystal.

Unit cell a=7.571 b=4.146 c=8.865 alpha=90.00 beta=101.05 gamma=90.00
Space group P2_1/m (No. 11)
Unique sites:
Zr 0.070 0.250 0.380 (multiplicity 2)
Ti 0.241 0.250 0.033 (multiplicity 2)
Ti 0.342 0.750 0.817 (multiplicity 2)
Ti 0.460 0.250 0.609 (multiplicity 2)
Ni 0.068 0.750 0.921 (multiplicity 2)
Ni 0.168 0.250 0.726 (multiplicity 2)
Ni 0.176 0.750 0.210 (multiplicity 2)
Ni 0.262 0.750 0.535 (multiplicity 2)
Ni 0.393 0.250 0.308 (multiplicity 2)
Ni 0.477 0.750 0.098 (multiplicity 2)

## Properties
Crystal system   monoclinic

***

(12)
VASP calculation (GGA-PBE) on a relaxed Zr3Ti4Ni8 crystal.

Unit cell a=12.064 b=12.064 c=12.064 alpha=90.00 beta=90.00 gamma=90.00
Space group Fm-3m (No. 225)
Unique sites:
Zr 0.000 0.000 0.227 (multiplicity 24)
Ti 0.000 0.000 0.000 (multiplicity 4)
Ti 0.000 0.000 0.500 (multiplicity 4)
Ti 0.000 0.250 0.250 (multiplicity 24)
Ni 0.119 0.119 0.381 (multiplicity 32)
Ni 0.173 0.173 0.173 (multiplicity 32)

## Properties
Crystal system   cubic

***

no.,N(E_F) (states/eV/f.u.),formation energy (meV/atom),magnetization (Bohr magnetons per cell)
1,4.7,-230,0.00
2,3.4,-23,0.00
3,7.5,34,0.01
4,3.2,-440,0.00
5,8.9,1420,1.35
6,4.6,-174,0.00
7,6.9,-229,0.00
8,9.5,-357,0.00
9,4.6,-448,0.00
10,6.1,51,0.00
11,8.2,-369,0.00
12,15.1,-345,3.67